(1)
First-principles (PBE) data for an optimized crystal structure of CsY2Ge, as listed in Alexandria.

```
CsY2Ge
1.0
7.189 0.000 0.000
0.000 7.189 0.000
3.594 3.594 8.483
Cs Y Ge
2 4 2
Cartesian
0.000 0.000 0.000
7.189 3.594 4.242
3.600 1.797 2.121
3.589 5.392 2.121
5.392 7.183 6.362
8.986 7.194 6.362
3.594 3.594 0.000
3.594 7.189 4.242
```

Output
* energy relative to the elements: 370 meV per atom
* E: -4.2294 eV per atom
* SG: I-42d, No. 122

(2)
First-principles (PBE) data for an optimized crystal structure of Al2PtCl, as listed in Alexandria.

```
Al2PtCl
1.0
-0.270 -0.355 3.545
2.857 -0.957 1.920
0.977 7.637 -0.951
Al Pt Cl
2 1 1
Cartesian
2.267 -0.660 4.608
2.101 2.509 3.114
0.891 1.581 1.128
2.673 4.743 3.385
```

Output
* formation energy from raw total energies: -0.788 eV/atom
* E: -4.6307 eV per atom
* SG: C2/m, No. 12

(3)
First-principles (PBE) data for an optimized crystal structure of CuHgTe2, as listed in Alexandria.

```
CuHgTe2
1.0
6.380 0.000 -0.382
2.497 7.655 -2.621
-2.497 7.655 2.621
Te Hg Cu
4 2 2
Cartesian
1.189 1.976 -0.318
2.001 9.631 0.126
5.191 13.333 -0.065
4.379 5.678 -0.509
6.033 9.325 -1.597
0.347 5.985 1.215
3.536 7.642 1.024
2.843 7.667 -1.406
```

Output
* formation energy from raw total energies: 0.018 eV/atom
* E: -2.6527 eV per atom
* SG: C2/c, No. 15

(4)
First-principles (PBE) data for an optimized crystal structure of NaRe4S7, as listed in Alexandria.

```
NaRe4S7
1.0
6.767 0.000 0.000
0.000 5.220 0.000
0.000 0.000 15.541
Na Re S
2 8 14
Cartesian
4.509 1.344 7.771
1.125 3.876 0.000
4.170 3.616 13.425
0.582 4.152 4.498
3.966 1.068 3.272
0.786 1.604 9.887
0.786 1.604 5.654
4.170 3.616 2.116
0.582 4.152 11.043
3.966 1.068 12.269
6.405 3.507 2.510
3.022 1.714 5.260
2.754 1.859 14.029
6.137 3.361 9.282
6.137 3.361 6.259
2.754 1.859 1.512
2.591 4.456 12.030
5.974 0.765 11.281
5.974 0.765 4.260
2.591 4.456 3.511
4.140 4.398 0.000
0.756 0.822 7.771
6.405 3.507 13.031
3.022 1.714 10.281
```

Output
* formation energy from raw total energies: -0.077 eV/atom
* E: -6.7442 eV per atom
* SG: Pmn2_1, No. 31

Which of these has the highest E?
CuHgTe2